Here is crystalline CeGdCoPd at its relaxed geometry from Alexandria via LeMat-Bulk. Energies are from PBE.

Cell and atoms, written as extended XYZ:
```
4
Lattice="-3.6760 -2.4927 2.0995 0.2887 -4.8830 0.4557 0.6204 -2.0207 4.4347" Properties=species:S:1:pos:R:3 pbc="T T T"
Co -0.6917 -2.3491 1.7475
Ce -1.3834 -4.6982 3.4950
Gd 0.0000 0.0000 0.0000
Pd -2.0752 -7.0473 5.2424
```

DFT formation energy in eV/f.u.: -1.4
Mass density in g cm⁻³: 9.16
Final energy in eV per atom: -8.44
Space-group type: F-43m, No. 216